VASP calculation (PBE) on a relaxed Na2Zn2Hg crystal.

Calculated values
E_form, meV per atom: -40.0
Uncorrected energy, eV/atom: -1.14
E above lowest polymorph, meV per atom: 0

Unit cell a=7.045 b=7.045 c=4.771 alpha=90.00 beta=90.00 gamma=90.00
Positions (direct):
Na: 0.177 0.323 0.000
Na: 0.323 0.823 0.000
Na: 0.677 0.177 0.000
Na: 0.823 0.677 0.000
Zn: 0.127 0.627 0.500
Zn: 0.373 0.127 0.500
Zn: 0.627 0.873 0.500
Zn: 0.873 0.373 0.500
Hg: 0.000 0.000 0.500
Hg: 0.500 0.500 0.500